Compound: HoMnPbF6
Source: Alexandria
Functional: GGA+U
Structure: optimized geometry

The total energy is -5.8813 eV per atom.

The space group is P-31c (No. 163) and the conventional cell measures 5.8358, 5.8358 and 11.7887 Å, with angles of 90.00, 90.00 and 120.00 degrees. The inequivalent atoms are Ho at (0.3333, 0.6667, 0.2500), Mn at (0.3333, 0.6667, 0.7500), Pb at (0.0000, 0.0000, 0.0000) and F at (0.0031, 0.3653, 0.6544).